Entry 1:
Below is crystalline CoTc2AsO at its relaxed geometry, with properties calculated at the PBEsol level.

Calculated values
The calculation puts the total magnetization at 3.86 μB/f.u. Its space group is P4/mmm. The value obtained for the total energy is -0.477 Ry per atom. The calculation puts the offset from the most stable computed form at 1569 meV per atom.

Unit cell a=4.1309 b=4.4636 c=4.4636 alpha=90.00 beta=90.00 gamma=90.00
Site moments in Bohr magnetons follow the coordinates.
Positions (direct):
O1 0.5000 0.5000 0.5000  0.01
Co1 0.0000 0.0000 0.0000  0.41
Tc1 0.0000 0.5000 0.0000  1.62
Tc2 0.0000 0.0000 0.5000  1.62
As1 0.5000 0.0000 0.0000  -0.04

***

Entry 2:
Below is crystalline Ta2NbAl2 at its relaxed geometry, with properties calculated at the PBEsol level.

Calculated values
The calculation puts the total magnetization at 0.00 μB/f.u. Its space group is P4/mbm. The value obtained for the total energy is -0.663 Ry per atom. The formation energy comes out at -18.7 kJ/mol of atoms.

Unit cell a=3.4700 b=6.9280 c=6.9280 alpha=90.00 beta=90.00 gamma=90.00
Positions (direct):
Ta1 0.5000 0.3260 0.1740
Al1 0.0000 0.6260 0.1260
Ta2 0.5000 0.1740 0.6740
Nb1 0.0000 0.5000 0.5000
Nb2 0.0000 0.0000 0.0000
Al2 0.0000 0.8740 0.6260
Al3 0.0000 0.1260 0.3740
Ta3 0.5000 0.6740 0.8260
Ta4 0.5000 0.8260 0.3260
Al4 0.0000 0.3740 0.8740

***

Entry 3:
Below is crystalline ZrTaTc at its relaxed geometry, with properties calculated at the PBEsol level.

Calculated values
The calculation puts the total magnetization at 0.00 μB/f.u. Its space group is F-43m. The value obtained for the total energy is -0.723 Ry per atom. The formation energy comes out at 108.9 kJ/mol of atoms. The calculation puts the offset from the most stable computed form at 1420 meV per atom.

Unit cell a=4.3895 b=4.3895 c=4.3895 alpha=60.00 beta=60.00 gamma=60.00
Positions (direct):
Ta1 0.0000 0.0000 0.0000
Tc1 0.5000 0.5000 0.5000
Zr1 0.2500 0.2500 0.2500

***

Entry 4:
Below is crystalline SbMoHCl2 at its relaxed geometry, with properties calculated at the PBEsol level.

Calculated values
The calculation puts the total magnetization at 3.31 μB/f.u. Its space group is P4/mmm. The value obtained for the total energy is -0.293 Ry per atom.

Unit cell a=3.7705 b=4.7703 c=4.7703 alpha=90.00 beta=90.00 gamma=90.00
Site moments in Bohr magnetons follow the coordinates.
Positions (direct):
Sb1 0.5000 0.0000 0.0000  -0.13
Mo1 0.5000 0.5000 0.5000  3.14
Cl1 0.0000 0.0000 0.5000  0.00
Cl2 0.0000 0.5000 0.0000  0.00
H1 0.0000 0.0000 0.0000  -0.01

***

Entry 5:
Below is crystalline YBe2Sb at its relaxed geometry, with properties calculated at the PBEsol level.

Calculated values
The calculation puts the total magnetization at 0.00 μB/f.u. Its space group is Pmm2. The value obtained for the total energy is -0.346 Ry per atom.

Unit cell a=3.1183 b=3.4940 c=6.4997 alpha=90.00 beta=90.00 gamma=90.00
Positions (direct):
Y1 0.5000 0.5000 0.7752
Be1 0.5000 0.5000 0.2066
Be2 0.0000 0.0000 0.0712
Sb1 0.0000 0.0000 0.4469

***

Entry 6:
Below is crystalline Y2ZrW at its relaxed geometry, with properties calculated at the PBEsol level.

Calculated values
The calculation puts the total magnetization at 0.00 μB/f.u. Its space group is I-4m2. The value obtained for the total energy is -0.640 Ry per atom. The formation energy comes out at 41.3 kJ/mol of atoms. The calculation puts the offset from the most stable computed form at 0 meV per atom.

Unit cell a=4.9272 b=5.0638 c=4.9272 alpha=60.89 beta=90.00 gamma=119.11
Positions (direct):
W1 0.7500 0.5000 0.7500
Zr1 0.5000 0.0000 0.5000
Y1 0.0000 0.0000 0.0000
Y2 0.2500 0.5000 0.2500